The following is a DFT calculation (PBE+U) of crystalline MnSb2F8 at its relaxed geometry.

Summary:
total magnetic moment = 5.0 μB per cell
electronic total energy = -5.236 eV per atom
mass density = 4.3 Mg/m³
space-group type = C2/m

abc: 5.230 6.078 6.078
angles: 72.53 105.18 105.18
Last column: magnetic moment on the atom in μB.
Positions (direct):
Mn  0.000  0.000  0.000  4.69
Sb  0.303  0.667  0.667  0.01
Sb  0.697  0.333  0.333  0.01
F  0.237  0.348  0.940  0.02
F  0.763  0.060  0.652  0.02
F  0.260  0.864  0.864  0.01
F  0.740  0.136  0.136  0.01
F  0.237  0.940  0.348  0.02
F  0.763  0.652  0.060  0.02
F  0.895  0.600  0.600  0.00
F  0.105  0.400  0.400  0.00